Record 1
# ZrTeAs, single point on PBEsol structure, DFT meta-GGA SCAN
# Raw formation energy in eV per formula unit: -1.427
# E in eV/cell: -89.6
# Volume in Å³/atom: 22.15
data_ZrTeAs
_space_group_name_H-M_alt 'P -6 m 2'
_space_group_IT_number 187
_space_group_name_Hall 'P -6 2'
_cell_length_a 4.6515
_cell_length_b 4.6515
_cell_length_c 3.5458
_cell_angle_alpha 90.00
_cell_angle_beta 90.00
_cell_angle_gamma 120.00
loop_
_atom_site_label
_atom_site_fract_x
_atom_site_fract_y
_atom_site_fract_z
Zr1 0.0000 0.0000 0.0000
Te1 0.3333 0.6667 0.5000
As1 0.6667 0.3333 0.0000

***

Record 2
# AlZnPt2, single point on PBEsol structure, DFT meta-GGA SCAN
# Energy of formation in eV/f.u.: -3.2
# E in eV/cell: -329.7
# Volume in Å³/atom: 14.25
data_AlZnPt2
_space_group_name_H-M_alt 'I m m 2'
_space_group_IT_number 44
_cell_length_a 3.670
_cell_length_b 3.681
_cell_length_c 8.440
_cell_angle_alpha 90.00
_cell_angle_beta 90.00
_cell_angle_gamma 90.00
loop_
_space_group_symop_operation_xyz
'x,y,z'
'-x,-y,z'
'-x,y,z'
'x,-y,z'
'x+1/2,y+1/2,z+1/2'
'-x+1/2,-y+1/2,z+1/2'
'-x+1/2,y+1/2,z+1/2'
'x+1/2,-y+1/2,z+1/2'
loop_
_atom_site_label
_atom_site_fract_x
_atom_site_fract_y
_atom_site_fract_z
Al1 0.000 0.000 0.000
Zn1 0.000 0.500 0.250
Pt1 0.000 0.000 0.500
Pt2 0.000 0.500 0.749

***

Record 3
# Sr2Li2Mg, single point on PBEsol structure, DFT meta-GGA SCAN
# ΔE to the lowest computed polymorph in eV per atom: 0.010
# Energy of formation in eV/f.u.: 0.2
# E in eV/cell: -108.1
# Volume in Å³/atom: 33.50
data_Sr2Li2Mg
_space_group_name_H-M_alt 'I 4/m m m'
_space_group_IT_number 139
_space_group_name_Hall '-I 4 2'
_cell_length_a 4.062
_cell_length_b 4.062
_cell_length_c 20.311
_cell_angle_alpha 90.00
_cell_angle_beta 90.00
_cell_angle_gamma 90.00
loop_
_atom_site_label
_atom_site_fract_x
_atom_site_fract_y
_atom_site_fract_z
Sr1 0.000 0.000 0.103
Li1 0.000 0.500 0.250
Mg1 0.000 0.000 0.500

***

Record 4
# SrMgSc, single point on PBEsol structure, DFT meta-GGA SCAN
# ΔE to the lowest computed polymorph in eV per atom: 0.667
# Energy of formation in eV/f.u.: 2.8
# E in eV/cell: -154.6
# Volume in Å³/atom: 36.65
data_SrMgSc
_space_group_name_H-M_alt 'F -4 3 m'
_space_group_IT_number 216
_space_group_name_Hall 'F -4 2 3'
_cell_length_a 7.605
_cell_length_b 7.605
_cell_length_c 7.605
_cell_angle_alpha 90.00
_cell_angle_beta 90.00
_cell_angle_gamma 90.00
loop_
_atom_site_label
_atom_site_fract_x
_atom_site_fract_y
_atom_site_fract_z
Sr1 0.000 0.000 0.000
Mg1 0.250 0.250 0.750
Sc1 0.250 0.250 0.250

***

Record 5
# ZnNi2Rh, single point on PBEsol structure, DFT meta-GGA SCAN
# Energy of formation in eV/f.u.: -0.5
# E in eV/cell: -160.2
# Volume in Å³/atom: 11.83
data_ZnNi2Rh
_space_group_name_H-M_alt 'I 4/m m m'
_space_group_IT_number 139
_space_group_name_Hall '-I 4 2'
_cell_length_a 3.618
_cell_length_b 3.618
_cell_length_c 7.229
_cell_angle_alpha 90.00
_cell_angle_beta 90.00
_cell_angle_gamma 90.00
loop_
_atom_site_label
_atom_site_fract_x
_atom_site_fract_y
_atom_site_fract_z
Zn1 0.000 0.000 0.000
Ni1 0.000 0.500 0.250
Rh1 0.000 0.000 0.500

***

Record 6
# Ba3CaS, single point on PBEsol structure, DFT meta-GGA SCAN
# Raw formation energy in eV per formula unit: 2.378
# E in eV/cell: -135.6
# Volume in Å³/atom: 46.54
data_Ba3CaS
_space_group_name_H-M_alt 'P m -3 m'
_space_group_IT_number 221
_space_group_name_Hall '-P 4 2 3'
_cell_length_a 6.151
_cell_length_b 6.151
_cell_length_c 6.151
_cell_angle_alpha 90.00
_cell_angle_beta 90.00
_cell_angle_gamma 90.00
loop_
_atom_site_label
_atom_site_fract_x
_atom_site_fract_y
_atom_site_fract_z
Ba1 0.000 0.000 0.500
Ca1 0.000 0.000 0.000
S1 0.500 0.500 0.500

***

Record 7
# ZrCuCl, single point on PBEsol structure, DFT meta-GGA SCAN
# Raw formation energy in eV per formula unit: -1.688
# E in eV/cell: -55.6
# Volume in Å³/atom: 19.32
data_ZrCuCl
_space_group_name_H-M_alt 'P 3 m 1'
_space_group_IT_number 156
_cell_length_a 3.1885
_cell_length_b 3.1885
_cell_length_c 6.5814
_cell_angle_alpha 90.00
_cell_angle_beta 90.00
_cell_angle_gamma 120.00
loop_
_space_group_symop_operation_xyz
'x,y,z'
'-y,x-y,z'
'-x+y,-x,z'
'-y,-x,z'
'-x+y,y,z'
'x,x-y,z'
loop_
_atom_site_label
_atom_site_fract_x
_atom_site_fract_y
_atom_site_fract_z
Zr1 0.0000 0.0000 0.0000
Cu1 0.6667 0.3333 0.3033
Cl1 0.3333 0.6667 0.7216

***

Record 8
# CdAg4, single point on PBEsol structure, DFT meta-GGA SCAN
# ΔE to the lowest computed polymorph in eV per atom: 0.010
# Energy of formation in eV/f.u.: -0.1
# E in eV/cell: -312.1
# Volume in Å³/atom: 17.08
data_CdAg4
_space_group_name_H-M_alt 'C 1 2/m 1'
_space_group_IT_number 12
_cell_length_a 9.574
_cell_length_b 2.889
_cell_length_c 7.077
_cell_angle_alpha 90.00
_cell_angle_beta 119.24
_cell_angle_gamma 90.00
loop_
_space_group_symop_operation_xyz
'x,y,z'
'-x,-y,-z'
'-x,y,-z'
'x,-y,z'
'x+1/2,y+1/2,z'
'-x+1/2,-y+1/2,-z'
'-x+1/2,y+1/2,-z'
'x+1/2,-y+1/2,z'
loop_
_atom_site_label
_atom_site_fract_x
_atom_site_fract_y
_atom_site_fract_z
Cd1 0.000 0.000 0.000
Ag1 0.101 0.500 0.404
Ag2 0.198 0.000 0.797

***

Record 9
# RuRh, single point on PBEsol structure, DFT meta-GGA SCAN
# Energy of formation in eV/f.u.: 0.1
# E in eV/cell: -68.5
# Volume in Å³/atom: 13.37
data_RuRh
_space_group_name_H-M_alt 'P -6 m 2'
_space_group_IT_number 187
_space_group_name_Hall 'P -6 2'
_cell_length_a 2.6839
_cell_length_b 2.6839
_cell_length_c 4.2853
_cell_angle_alpha 90.00
_cell_angle_beta 90.00
_cell_angle_gamma 120.00
loop_
_atom_site_label
_atom_site_fract_x
_atom_site_fract_y
_atom_site_fract_z
Ru1 0.0000 0.0000 0.0000
Rh1 0.3333 0.6667 0.5000

***

Record 10
# LaTaSb3, single point on PBEsol structure, DFT meta-GGA SCAN
# Raw formation energy in eV per formula unit: 8.050
# E in eV/cell: -213.4
# Volume in Å³/atom: 37.72
data_LaTaSb3
_space_group_name_H-M_alt 'P m -3 m'
_space_group_IT_number 221
_space_group_name_Hall '-P 4 2 3'
_cell_length_a 5.735
_cell_length_b 5.735
_cell_length_c 5.735
_cell_angle_alpha 90.00
_cell_angle_beta 90.00
_cell_angle_gamma 90.00
loop_
_atom_site_label
_atom_site_fract_x
_atom_site_fract_y
_atom_site_fract_z
La1 0.000 0.000 0.000
Ta1 0.500 0.500 0.500
Sb1 0.000 0.000 0.500

***

Record 11
# Ca2YAg, single point on PBEsol structure, DFT meta-GGA SCAN
# ΔE to the lowest computed polymorph in eV per atom: 0.322
# Energy of formation in eV/f.u.: 0.7
# E in eV/cell: -311.5
# Volume in Å³/atom: 28.43
data_Ca2YAg
_space_group_name_H-M_alt 'F m -3 m'
_space_group_IT_number 225
_space_group_name_Hall '-F 4 2 3'
_cell_length_a 7.691
_cell_length_b 7.691
_cell_length_c 7.691
_cell_angle_alpha 90.00
_cell_angle_beta 90.00
_cell_angle_gamma 90.00
loop_
_atom_site_label
_atom_site_fract_x
_atom_site_fract_y
_atom_site_fract_z
Ca1 0.250 0.250 0.250
Y1 0.000 0.000 0.000
Ag1 0.000 0.000 0.500

***

Record 12
# ZrCdAg, single point on PBEsol structure, DFT meta-GGA SCAN
# Energy of formation in eV/f.u.: -0.4
# E in eV/cell: -92.9
# Volume in Å³/atom: 18.96
data_ZrCdAg
_space_group_name_H-M_alt 'P -6 m 2'
_space_group_IT_number 187
_space_group_name_Hall 'P -6 2'
_cell_length_a 4.7690
_cell_length_b 4.7690
_cell_length_c 2.8883
_cell_angle_alpha 90.00
_cell_angle_beta 90.00
_cell_angle_gamma 120.00
loop_
_atom_site_label
_atom_site_fract_x
_atom_site_fract_y
_atom_site_fract_z
Zr1 0.0000 0.0000 0.0000
Cd1 0.6667 0.3333 0.5000
Ag1 0.3333 0.6667 0.5000